Entry 1:
DFT (PBE) results for a geometry-optimized Fe8Si structure.

Summary:
VASP energy ... -8.172 eV/atom
N(E_F) ... 0.8862 states/eV per atom
ΔE_f (raw) ... -0.42 eV per formula unit

Unit cell a=7.320 b=7.320 c=3.889 alpha=90.00 beta=90.00 gamma=90.00
Space group I4/mmm (No. 139)
One atom of each set of equivalent atoms:
Fe 0.000 0.330 0.000
Fe 0.164 0.164 0.500
Si 0.000 0.000 0.000

---

Entry 2:
DFT (PBE) results for a geometry-optimized FeSi3 structure.

Summary:
VASP energy ... -6.101 eV/atom
N(E_F) ... 0.3869 states/eV per atom
ΔE_f (raw) ... 0.33 eV per formula unit

Unit cell a=2.8931 b=2.8931 c=21.3968 alpha=90.00 beta=90.00 gamma=120.00
Space group R-3m (No. 166, hexagonal axes)
One atom of each set of equivalent atoms:
Fe 0.0000 0.0000 0.0000
Si 0.0000 0.0000 0.2558
Si 0.0000 0.0000 0.5000

---

Entry 3:
DFT (PBE) results for a geometry-optimized Fe4Si structure.

Summary:
VASP energy ... -7.086 eV/atom
N(E_F) ... 1.0017 states/eV per atom
Polymorph energy (0 for the lowest one) ... 89.9 kJ per mole of atoms
ΔE_f (raw) ... 3.85 eV per formula unit

Unit cell a=4.185 b=4.185 c=4.185 alpha=90.00 beta=90.00 gamma=90.00
Space group Pm-3m (No. 221)
One atom of each set of equivalent atoms:
Fe 0.000 0.000 0.000
Fe 0.000 0.500 0.500
Si 0.500 0.500 0.500

---

Entry 4:
DFT (PBE) results for a geometry-optimized FeSi2 structure.

Summary:
VASP energy ... -6.592 eV/atom
N(E_F) ... 0.0150 states/eV per atom
ΔE_f (raw) ... -0.47 eV per formula unit

Unit cell a=5.628 b=5.628 c=2.801 alpha=90.00 beta=90.00 gamma=90.00
Space group P4_2/mnm (No. 136)
One atom of each set of equivalent atoms:
Fe 0.000 0.000 0.000
Si 0.221 0.221 0.500

---

Entry 5:
DFT (PBE) results for a geometry-optimized Fe3Si23 structure.

Summary:
VASP energy ... -5.320 eV/atom
N(E_F) ... 0.9991 states/eV per atom
ΔE_f (raw) ... 11.80 eV per formula unit

Unit cell a=10.147 b=10.147 c=10.147 alpha=90.00 beta=90.00 gamma=90.00
Space group Pm-3n (No. 223)
One atom of each set of equivalent atoms:
Fe 0.000 0.250 0.500
Si 0.000 0.310 0.116
Si 0.000 0.500 0.250
Si 0.184 0.184 0.184

---

Entry 6:
DFT (PBE) results for a geometry-optimized Fe2Si structure.

Summary:
VASP energy ... -7.764 eV/atom
N(E_F) ... 0.7589 states/eV per atom
ΔE_f (raw) ... -0.94 eV per formula unit

Unit cell a=2.800 b=2.800 c=8.272 alpha=90.00 beta=90.00 gamma=90.00
Space group P4/mmm (No. 123)
One atom of each set of equivalent atoms:
Fe 0.000 0.000 0.000
Fe 0.000 0.000 0.326
Fe 0.500 0.500 0.500
Si 0.500 0.500 0.167

---

Entry 7:
DFT (PBE) results for a geometry-optimized FeSi2 structure.

Summary:
VASP energy ... -6.251 eV/atom
N(E_F) ... 0.8613 states/eV per atom
ΔE_f (raw) ... 0.55 eV per formula unit

Unit cell a=4.2817 b=4.2817 c=2.5231 alpha=90.00 beta=90.00 gamma=120.00
Space group P-3m1 (No. 164)
One atom of each set of equivalent atoms:
Fe 0.0000 0.0000 0.0000
Si 0.3333 0.6667 0.9848

---

Entry 8:
DFT (PBE) results for a geometry-optimized Fe2Si structure.

Summary:
VASP energy ... -7.433 eV/atom
N(E_F) ... 1.0789 states/eV per atom
ΔE_f (raw) ... 0.05 eV per formula unit

Unit cell a=2.618 b=2.618 c=20.124 alpha=90.00 beta=90.00 gamma=90.00
Space group I4_1/amd (No. 141, origin choice 2)
One atom of each set of equivalent atoms:
Fe 0.000 0.250 0.300
Si 0.000 0.250 0.875

---

Entry 9:
DFT (PBE) results for a geometry-optimized Fe2Si structure.

Summary:
VASP energy ... -7.750 eV/atom
N(E_F) ... 0.9587 states/eV per atom
ΔE_f (raw) ... -0.90 eV per formula unit

Unit cell a=2.784 b=12.008 c=3.907 alpha=90.00 beta=90.00 gamma=90.00
Space group Cmcm (No. 63)
One atom of each set of equivalent atoms:
Fe 0.000 0.078 0.250
Fe 0.000 0.251 0.750
Si 0.000 0.414 0.250

---

Entry 10:
DFT (PBE) results for a geometry-optimized Fe2Si structure.

Summary:
VASP energy ... -7.676 eV/atom
N(E_F) ... 1.1553 states/eV per atom
ΔE_f (raw) ... -0.68 eV per formula unit

Unit cell a=8.688 b=2.601 c=5.842 alpha=90.00 beta=98.95 gamma=90.00
Space group Cm (No. 8)
One atom of each set of equivalent atoms:
Fe 0.000 0.000 0.000
Fe 0.086 0.000 0.604
Fe 0.215 0.500 0.315
Fe 0.361 0.000 0.673
Si 0.214 0.500 0.912
Si 0.441 0.000 0.305

---

Entry 11:
DFT (PBE) results for a geometry-optimized FeSi3 structure.

Summary:
VASP energy ... -5.770 eV/atom
N(E_F) ... 0.5075 states/eV per atom
ΔE_f (raw) ... 1.65 eV per formula unit

Unit cell a=4.347 b=4.347 c=4.347 alpha=90.00 beta=90.00 gamma=90.00
Space group Pm-3m (No. 221)
One atom of each set of equivalent atoms:
Fe 0.000 0.000 0.000
Si 0.000 0.000 0.500

---

Entry 12:
DFT (PBE) results for a geometry-optimized FeSi3 structure.

Summary:
VASP energy ... -6.064 eV/atom
N(E_F) ... 0.6533 states/eV per atom
ΔE_f (raw) ... 0.48 eV per formula unit

Unit cell a=5.912 b=7.719 c=4.504 alpha=90.00 beta=90.00 gamma=90.00
Space group Cmcm (No. 63)
One atom of each set of equivalent atoms:
Fe 0.000 0.105 0.250
Si 0.000 0.453 0.750
Si 0.199 0.174 0.750

---

Entry 13:
DFT (PBE) results for a geometry-optimized FeSi2 structure.

Summary:
VASP energy ... -6.564 eV/atom
N(E_F) ... 0.6434 states/eV per atom
ΔE_f (raw) ... -0.38 eV per formula unit

Unit cell a=3.855 b=3.855 c=2.618 alpha=90.00 beta=90.00 gamma=90.00
Space group P4/mmm (No. 123)
One atom of each set of equivalent atoms:
Fe 0.000 0.000 0.000
Si 0.000 0.500 0.500

---

Entry 14:
DFT (PBE) results for a geometry-optimized Fe2Si structure.

Summary:
VASP energy ... -7.714 eV/atom
N(E_F) ... 0.9658 states/eV per atom
ΔE_f (raw) ... -0.79 eV per formula unit

Unit cell a=8.605 b=2.604 c=6.131 alpha=90.00 beta=110.03 gamma=90.00
Space group C2/m (No. 12)
One atom of each set of equivalent atoms:
Fe 0.146 0.000 0.030
Fe 0.173 0.000 0.631
Si 0.035 0.500 0.288

---

Entry 15:
DFT (PBE) results for a geometry-optimized Fe2Si structure.

Summary:
VASP energy ... -7.660 eV/atom
N(E_F) ... 0.9083 states/eV per atom
ΔE_f (raw) ... -0.63 eV per formula unit

Unit cell a=8.362 b=2.677 c=6.334 alpha=90.00 beta=112.22 gamma=90.00
Space group C2/m (No. 12)
One atom of each set of equivalent atoms:
Fe 0.019 0.000 0.295
Fe 0.148 0.500 0.052
Si 0.180 0.500 0.622

---

Entry 16:
DFT (PBE) results for a geometry-optimized FeSi2 structure.

Summary:
VASP energy ... -6.192 eV/atom
N(E_F) ... 0.4629 states/eV per atom
ΔE_f (raw) ... 0.73 eV per formula unit

Unit cell a=4.2660 b=4.2660 c=2.4879 alpha=90.00 beta=90.00 gamma=120.00
Space group P6/mmm (No. 191)
One atom of each set of equivalent atoms:
Fe 0.0000 0.0000 0.0000
Si 0.3333 0.6667 0.5000

---

Entry 17:
DFT (PBE) results for a geometry-optimized SmFe9Si4 structure.

Summary:
VASP energy ... -7.715 eV/atom
N(E_F) ... 1.0251 states/eV per atom
ΔE_f (raw) ... -5.44 eV per formula unit

Unit cell a=7.804 b=7.804 c=11.496 alpha=90.00 beta=90.00 gamma=90.00
Space group I4/mcm (No. 140)
One atom of each set of equivalent atoms:
Sm 0.000 0.000 0.250
Fe 0.000 0.500 0.000
Fe 0.067 0.200 0.000
Fe 0.124 0.376 0.180
Si 0.172 0.328 0.379

---

Entry 18:
DFT (PBE) results for a geometry-optimized Sm2Fe12Si7 structure.

Summary:
VASP energy ... -7.484 eV/atom
N(E_F) ... 0.9454 states/eV per atom
ΔE_f (raw) ... -8.21 eV per formula unit

Unit cell a=9.1854 b=9.1854 c=3.7562 alpha=90.00 beta=90.00 gamma=120.00
Space group P-6 (No. 174)
One atom of each set of equivalent atoms:
Sm 0.0000 0.0000 0.0000
Sm 0.3333 0.6667 0.5000
Fe 0.0560 0.7612 0.5000
Fe 0.1094 0.3722 0.0000
Fe 0.3883 0.2046 0.0000
Fe 0.5587 0.1225 0.5000
Si 0.0539 0.5966 0.0000
Si 0.2733 0.0510 0.5000
Si 0.6667 0.3333 0.0000

---

Entry 19:
DFT (PBE) results for a geometry-optimized SmFeSi2 structure.

Summary:
VASP energy ... -6.713 eV/atom
N(E_F) ... 0.4685 states/eV per atom
ΔE_f (raw) ... -2.83 eV per formula unit

Unit cell a=4.319 b=4.002 c=8.045 alpha=90.00 beta=103.45 gamma=90.00
Space group P2_1/m (No. 11)
One atom of each set of equivalent atoms:
Sm 0.103 0.250 0.206
Fe 0.383 0.250 0.609
Si 0.173 0.750 0.495
Si 0.455 0.250 0.902

---

Entry 20:
DFT (PBE) results for a geometry-optimized SmFe10Si2 structure.

Summary:
VASP energy ... -7.860 eV/atom
N(E_F) ... 0.8817 states/eV per atom
Polymorph energy (0 for the lowest one) ... 5.5 kJ per mole of atoms
ΔE_f (raw) ... -1.98 eV per formula unit

Unit cell a=4.810 b=11.690 c=11.835 alpha=90.00 beta=90.00 gamma=90.00
Space group Fmmm (No. 69)
One atom of each set of equivalent atoms:
Sm 0.000 0.000 0.000
Fe 0.000 0.113 0.388
Fe 0.000 0.183 0.178
Fe 0.250 0.000 0.250
Si 0.250 0.250 0.000

---

Entry 21:
DFT (PBE) results for a geometry-optimized Sm2FeSi structure.

Summary:
VASP energy ... -5.346 eV/atom
N(E_F) ... 0.9424 states/eV per atom
ΔE_f (raw) ... 1.94 eV per formula unit

Unit cell a=3.4143 b=3.4143 c=28.9570 alpha=90.00 beta=90.00 gamma=120.00
Space group R-3m (No. 166, hexagonal axes)
One atom of each set of equivalent atoms:
Sm 0.0000 0.0000 0.0910
Fe 0.0000 0.0000 0.0000
Si 0.0000 0.0000 0.5000

---

Entry 22:
DFT (PBE) results for a geometry-optimized SmFe2Si2 structure.

Summary:
VASP energy ... -7.148 eV/atom
N(E_F) ... 0.8973 states/eV per atom
ΔE_f (raw) ... -3.25 eV per formula unit

Unit cell a=3.995 b=3.995 c=9.644 alpha=90.00 beta=90.00 gamma=90.00
Space group I4/mmm (No. 139)
One atom of each set of equivalent atoms:
Sm 0.000 0.000 0.000
Fe 0.000 0.500 0.250
Si 0.000 0.000 0.363